A plane-wave DFT calculation with GGA+U was carried out for an optimized crystal structure of PmMn2TeO8.

Cell lengths 4.6821, 4.6821, 6.8013 Å; angles 92.67, 92.67, 87.79 degrees
Last column: nearest neighbours and their distance in Å.
Element x y z (fractional)
Pm: 0.0000 0.0000 0.0000  6 O 2.26-2.33
Mn: 0.4931 0.4931 0.7364  4 O 1.94-1.99
Mn: 0.5069 0.5069 0.2636  4 O 1.94-1.99
Te: 0.0000 0.0000 0.5000  6 O 1.95-1.98
O: 0.1919 0.7928 0.2847  1 Te 1.95, 1 Mn 1.96
O: 0.2072 0.8081 0.7153  1 Te 1.95, 1 Mn 1.96
O: 0.2935 0.2935 0.5081  1 Te 1.98, 1 Mn 1.99
O: 0.3360 0.3360 0.0228  1 Mn 1.94
O: 0.6640 0.6640 0.9772  1 Mn 1.94
O: 0.7065 0.7065 0.4919  1 Te 1.98, 1 Mn 1.99
O: 0.7928 0.1919 0.2847  1 Te 1.95, 1 Mn 1.96
O: 0.8081 0.2072 0.7153  1 Te 1.95, 1 Mn 1.96

Calculated values
- Spin magnetization: 6.99 Bohr magnetons per cell
- E: -6.81 eV per atom
- Density: 5.70 g cm⁻³